## CsWS2 (GGA-PBE)

Data for CsWS2 after structural relaxation.

## Properties
Formation energy (no corrections) ... 0.360 eV per atom
Space group ... R-3m (166)
Mass density ... 5.56 g/cm3

Cell: 9.7971 9.7971 9.7971 Å, 21.82 21.82 21.82°
Sites, in units of the cell vectors:
Cs (0.5000, 0.5000, 0.5000)
S (0.0769, 0.0769, 0.0769)
W (0.0000, 0.0000, 0.0000)
S (0.9231, 0.9231, 0.9231)